Record 1
VASP calculation (PBE-GGA) on CeIrRu2 after structural relaxation.

extended XYZ file:
```
4
Lattice="4.083 0.000 0.000 0.000 4.083 0.000 0.000 0.000 4.021" Properties=species:S:1:pos:R:3 pbc="T T T"
Ce 0.000 0.000 0.000
Ir 2.042 2.042 0.000
Ru 0.000 2.042 2.011
Ru 2.042 0.000 2.011
```

DOS at the Fermi energy ... 3.6 states/eV/f.u.
Space-group type ... P4/mmm, No. 123
E_tot ... -8.5679 eV/atom

---

Record 2
VASP calculation (PBE-GGA) on TmLu3Rh after structural relaxation.

extended XYZ file:
```
5
Lattice="5.280 0.000 0.000 0.000 5.280 0.000 0.000 0.000 5.280" Properties=species:S:1:pos:R:3 pbc="T T T"
Tm 0.000 0.000 0.000
Lu 0.000 2.640 2.640
Lu 2.640 0.000 2.640
Lu 2.640 2.640 0.000
Rh 2.640 2.640 2.640
```

DOS at the Fermi energy ... 7.1 states/eV/f.u.
Space-group type ... Pm-3m, No. 221
E_tot ... -5.3322 eV/atom

---

Record 3
VASP calculation (PBE-GGA) on Sr2HgBr after structural relaxation.

extended XYZ file:
```
4
Lattice="4.662 0.000 0.000 0.000 4.662 0.000 0.000 0.000 6.649" Properties=species:S:1:pos:R:3 pbc="T T T"
Sr 0.000 0.000 0.000
Sr 2.331 2.331 3.325
Hg 0.000 0.000 3.325
Br 2.331 2.331 0.000
```

DOS at the Fermi energy ... 4.2 states/eV/f.u.
Formation energy from raw total energies ... -0.96 eV per atom
E above lowest polymorph ... 33.3 meV per atom
Space-group type ... P4/mmm, No. 123
E_tot ... -2.2992 eV/atom

---

Record 4
VASP calculation (PBE-GGA) on Tb5Nd4Tl after structural relaxation.

extended XYZ file:
```
10
Lattice="4.190 0.000 0.000 0.000 4.190 0.000 0.000 0.000 18.330" Properties=species:S:1:pos:R:3 pbc="T T T"
Tb 0.000 0.000 0.000
Tb 0.000 0.000 3.808
Tb 0.000 0.000 7.556
Tb 0.000 0.000 10.774
Tb 0.000 0.000 14.522
Nd 2.095 2.095 1.874
Nd 2.095 2.095 5.564
Nd 2.095 2.095 12.766
Nd 2.095 2.095 16.456
Tl 2.095 2.095 9.165
```

DOS at the Fermi energy ... 16.3 states/eV/f.u.
E above lowest polymorph ... 0.0 meV per atom
Space-group type ... P4/mmm, No. 123
E_tot ... -4.4305 eV/atom

---

Question: Number 3 is which compound?
Answer: Sr2HgBr